Material: Pm3DySn4
Method: DFT, PBE
State: relaxed

Cell lengths 10.880, 6.433, 6.435 Å; angles 90.00, 90.00, 90.00 degrees
Element x y z (fractional)
Pm (0.000, 0.023, 0.000)
Pm (0.250, 0.251, 0.274)
Pm (0.250, 0.749, 0.774)
Pm (0.500, 0.977, 0.500)
Pm (0.750, 0.251, 0.274)
Pm (0.750, 0.749, 0.774)
Dy (0.000, 0.484, 0.539)
Dy (0.500, 0.516, 0.039)
Sn (0.000, 0.514, 0.032)
Sn (0.000, 0.991, 0.509)
Sn (0.229, 0.751, 0.274)
Sn (0.271, 0.249, 0.774)
Sn (0.500, 0.009, 0.009)
Sn (0.500, 0.486, 0.532)
Sn (0.729, 0.249, 0.774)
Sn (0.771, 0.751, 0.274)

## Properties
- DFT total energy (eV per atom) = -5.00

=====

Material: PmDySn6
Method: DFT, PBE
State: relaxed

Cell lengths 4.736, 4.736, 9.486 Å; angles 90.00, 90.00, 90.00 degrees
Element x y z (fractional)
Pm (0.000, 0.000, 0.000)
Dy (0.000, 0.000, 0.500)
Sn (0.000, 0.500, 0.254)
Sn (0.000, 0.500, 0.746)
Sn (0.500, 0.000, 0.254)
Sn (0.500, 0.000, 0.746)
Sn (0.500, 0.500, 0.000)
Sn (0.500, 0.500, 0.500)

## Properties
- DFT total energy (eV per atom) = -4.63

=====

Material: PmDy2Sn
Method: DFT, PBE
State: relaxed

Cell lengths 11.118, 11.118, 11.118 Å; angles 18.60, 18.60, 18.60 degrees
Element x y z (fractional)
Pm (0.000, 0.000, 0.000)
Dy (0.244, 0.244, 0.244)
Dy (0.423, 0.423, 0.423)
Sn (0.833, 0.833, 0.833)

## Properties
- E above lowest polymorph (meV per atom) = 207

=====

Material: PmDy4Sn4
Method: DFT, PBE
State: relaxed

Cell lengths 9.853, 9.853, 6.138 Å; angles 90.00, 90.00, 90.00 degrees
Element x y z (fractional)
Pm (0.250, 0.250, 0.250)
Pm (0.750, 0.750, 0.750)
Dy (0.093, 0.649, 0.141)
Dy (0.149, 0.907, 0.641)
Dy (0.351, 0.593, 0.641)
Dy (0.407, 0.851, 0.141)
Dy (0.593, 0.149, 0.859)
Dy (0.649, 0.407, 0.359)
Dy (0.851, 0.093, 0.359)
Dy (0.907, 0.351, 0.859)
Sn (0.035, 0.614, 0.649)
Sn (0.114, 0.965, 0.149)
Sn (0.386, 0.535, 0.149)
Sn (0.465, 0.886, 0.649)
Sn (0.535, 0.114, 0.351)
Sn (0.614, 0.465, 0.851)
Sn (0.886, 0.035, 0.851)
Sn (0.965, 0.386, 0.351)

## Properties
- DFT total energy (eV per atom) = -4.78

=====

Material: Pm3Dy2Sn6
Method: DFT, PBE
State: relaxed

Cell lengths 11.801, 11.801, 11.801 Å; angles 151.52, 151.52, 40.72 degrees
Element x y z (fractional)
Pm (0.000, 0.000, 0.000)
Pm (0.153, 0.153, 0.000)
Pm (0.847, 0.847, 0.000)
Dy (0.426, 0.426, 0.000)
Dy (0.574, 0.574, 0.000)
Sn (0.074, 0.574, 0.500)
Sn (0.293, 0.293, 0.000)
Sn (0.426, 0.926, 0.500)
Sn (0.574, 0.074, 0.500)
Sn (0.707, 0.707, 0.000)
Sn (0.926, 0.426, 0.500)

## Properties
- DFT total energy (eV per atom) = -4.56

=====

Material: Pm3Dy2Sn2
Method: DFT, PBE
State: relaxed

Cell lengths 6.259, 6.259, 8.514 Å; angles 105.86, 105.86, 43.02 degrees
Element x y z (fractional)
Pm (0.000, 0.000, 0.000)
Pm (0.131, 0.131, 0.439)
Pm (0.869, 0.869, 0.561)
Dy (0.369, 0.369, 0.221)
Dy (0.631, 0.631, 0.779)
Sn (0.323, 0.323, 0.813)
Sn (0.677, 0.677, 0.187)

## Properties
- DFT total energy (eV per atom) = -4.94

=====

For the records above, the corresponding size of the total moment values read 0.0; 0.0; 0.0; 0.0; 0.0; 0.0 μB/f.u..